[1]
Entry from Alexandria via LeMat-Bulk: an optimized crystal structure of LiTbLuPb (PBE-GGA).

Values from the calculation:
For the formation energy, the calculation gives -226 meV/atom. Its crystal system is cubic.

a = 7.4279 Å, b = 7.4279 Å, c = 7.4279 Å
α = 90.00°, β = 90.00°, γ = 90.00°
Space group F-43m (No. 216)
Asymmetric unit:
Li1 0.0000 0.0000 0.0000 [4 per cell]
Tb1 0.2500 0.2500 0.7500 [4 per cell]
Lu1 0.2500 0.2500 0.2500 [4 per cell]
Pb1 0.0000 0.0000 0.5000 [4 per cell]



[2]
Entry from Alexandria via LeMat-Bulk: an optimized crystal structure of Ac6ZnN2 (PBE-GGA).

Values from the calculation:
The uncorrected formation energy is -0.464 eV per atom. Its crystal system is monoclinic.

a = 7.9839 Å, b = 7.9822 Å, c = 9.6750 Å
α = 90.00°, β = 114.29°, γ = 90.00°
Space group C2/m (No. 12)
Asymmetric unit:
Ac1 0.1415 0.2500 0.2837 [8 per cell]
Ac2 0.2485 0.0000 0.9968 [4 per cell]
Zn1 0.0000 0.0000 0.5000 [2 per cell]
N1 0.0000 0.2502 0.0000 [4 per cell]



[3]
Entry from Alexandria via LeMat-Bulk: an optimized crystal structure of Nd3Zn2Ge4 (PBE-GGA).

Values from the calculation:
For the formation energy, the calculation gives -641 meV/atom. Its crystal system is monoclinic.

a = 11.4052 Å, b = 4.2387 Å, c = 8.7715 Å
α = 90.00°, β = 110.75°, γ = 90.00°
Space group C2/m (No. 12)
Asymmetric unit:
Nd1 0.0000 0.0000 0.0000 [2 per cell]
Nd2 0.1217 0.5000 0.6899 [4 per cell]
Zn1 0.1837 0.5000 0.3389 [4 per cell]
Ge1 0.0923 0.0000 0.3979 [4 per cell]
Ge2 0.2154 0.5000 0.0609 [4 per cell]



[4]
Entry from Alexandria via LeMat-Bulk: an optimized crystal structure of LiTc2B6 (PBE-GGA).

Values from the calculation:
For the formation energy, the calculation gives -214 meV/atom. Its crystal system is hexagonal.

a = 5.2896 Å, b = 5.2896 Å, c = 3.0916 Å
α = 90.00°, β = 90.00°, γ = 120.00°
Space group P6/mmm (No. 191)
Asymmetric unit:
Li1 0.0000 0.0000 0.0000 [1 per cell]
Tc1 0.3333 0.6667 0.0000 [2 per cell]
B1 0.0000 0.3284 0.5000 [6 per cell]



[5]
Entry from Alexandria via LeMat-Bulk: an optimized crystal structure of Ac3TlPd (PBE-GGA).

Values from the calculation:
For the formation energy, the calculation gives -426 meV/atom. Its crystal system is orthorhombic. The calculation puts the polymorph energy (0 for the lowest one) at 0.000 eV per atom.

a = 9.9483 Å, b = 4.4271 Å, c = 16.8587 Å
α = 90.00°, β = 90.00°, γ = 90.00°
Space group Pnma (No. 62)
Asymmetric unit:
Ac1 0.0042 0.2500 0.1086 [4 per cell]
Ac2 0.1567 0.2500 0.5285 [4 per cell]
Ac3 0.1674 0.7500 0.2977 [4 per cell]
Tl1 0.1177 0.7500 0.6913 [4 per cell]
Pd1 0.1790 0.2500 0.9533 [4 per cell]



[6]
Entry from Alexandria via LeMat-Bulk: an optimized crystal structure of Si2PW (PBE-GGA).

Values from the calculation:
The uncorrected formation energy is 0.221 eV per atom. Its crystal system is monoclinic.

a = 8.8173 Å, b = 3.0836 Å, c = 4.1937 Å
α = 90.00°, β = 93.55°, γ = 90.00°
Space group C2/m (No. 12)
Asymmetric unit:
Si1 0.2320 0.0000 0.2388 [4 per cell]
P1 0.0000 0.0000 0.5000 [2 per cell]
W1 0.0000 0.5000 0.0000 [2 per cell]



[7]
Entry from Alexandria via LeMat-Bulk: an optimized crystal structure of SmGa2H6 (PBE-GGA).

Values from the calculation:
Its crystal system is cubic. For the total DFT energy (no corrections), the calculation gives -2.90 eV/atom.

a = 7.5127 Å, b = 7.5127 Å, c = 7.5127 Å
α = 90.00°, β = 90.00°, γ = 90.00°
Space group Fm-3m (No. 225)
Asymmetric unit:
Sm1 0.0000 0.0000 0.0000 [4 per cell]
Ga1 0.2500 0.2500 0.2500 [8 per cell]
H1 0.0000 0.0000 0.2847 [24 per cell]



[8]
Entry from Alexandria via LeMat-Bulk: an optimized crystal structure of RbCd3Pt (PBE-GGA).

Values from the calculation:
For the formation energy, the calculation gives -169 meV/atom. Its crystal system is monoclinic. The calculation puts the polymorph energy (0 for the lowest one) at 0.081 eV per atom.

a = 4.3546 Å, b = 6.4167 Å, c = 10.6396 Å
α = 90.00°, β = 101.83°, γ = 90.00°
Space group P2_1/m (No. 11)
Asymmetric unit:
Rb1 0.0692 0.2500 0.1390 [2 per cell]
Cd1 0.2970 0.5210 0.5939 [4 per cell]
Cd2 0.4152 0.2500 0.8305 [2 per cell]
Pt1 0.1767 0.7500 0.3537 [2 per cell]